Na9Li7V16O48 | the Alexandria database | PBE+U | optimized geometry; total energy = -0.2481 Ha/atom; SG = C2; crystal system = monoclinic
1.0
-1.747 -5.805 3.549
5.404 -3.944 -2.142
12.706 5.070 17.623
O V Li Na
48 16 7 9
Cartesian
2.094 -1.551 3.210
12.485 -0.197 16.651
5.297 -6.150 3.179
9.150 0.160 16.350
9.703 -1.805 5.017
5.133 -4.544 5.775
12.633 0.339 11.687
4.901 -2.274 10.311
7.621 0.380 6.710
3.249 -1.958 0.615
10.197 -3.906 12.598
7.925 -5.566 6.684
2.720 -6.008 6.255
10.471 -0.332 13.859
11.540 -4.330 10.093
12.436 1.828 14.760
2.916 -4.732 3.144
10.007 -0.270 8.190
9.798 1.242 11.263
2.738 -3.141 5.758
7.751 -3.971 4.143
8.110 -1.705 14.289
5.172 -1.032 7.223
2.823 -8.173 1.799
3.896 -4.108 8.208
13.152 -1.776 19.223
12.674 3.269 17.919
7.549 -2.473 7.238
13.253 -3.393 16.629
12.541 -2.508 12.207
15.759 -2.032 16.309
0.289 -5.265 4.946
5.965 -7.711 5.835
6.377 -1.506 4.789
10.495 -2.353 15.763
13.809 -0.643 14.144
10.160 -1.856 10.721
0.143 -3.701 2.248
4.141 -5.187 0.702
10.174 -0.950 18.779
9.591 2.823 13.836
14.846 1.192 16.240
10.375 -3.362 7.641
12.821 -1.271 9.110
6.880 -3.597 12.365
8.221 -4.029 9.860
7.348 -0.856 9.801
5.358 -3.306 2.654
13.334 0.568 15.428
7.196 -3.280 14.131
6.862 -2.696 3.491
14.797 -3.550 16.001
13.477 -0.948 12.375
3.601 -4.419 6.438
15.719 2.785 16.458
7.375 -4.800 11.082
9.619 -1.078 15.092
3.401 -2.899 9.487
4.578 -6.440 -0.559
5.820 -0.703 10.469
6.698 -1.189 6.553
11.044 -3.131 11.379
4.444 -4.878 2.476
2.904 -0.780 1.964
11.102 1.533 13.018
6.602 -5.863 4.944
11.811 -2.092 17.474
1.447 -3.394 4.026
11.323 0.036 9.929
8.847 -2.166 8.985
9.072 -3.665 5.891
1.614 -4.930 0.874
11.987 -3.570 14.429
10.894 2.957 16.107
3.875 -1.239 4.999
4.111 -7.989 4.004
8.652 -0.648 12.036
-1.026 -5.617 2.975
11.513 -1.472 6.863
6.422 -4.366 8.019